Entry from the Alexandria database: an optimized crystal structure of SrBrO5 (GGA-PBE).

Lattice parameters (Å, degrees): 4.3105 8.1308 8.4206 117.02 103.22 93.21
Element x y z (fractional)
Sr: 0.1580 0.2671 0.3401
Sr: 0.8420 0.7329 0.6599
Br: 0.2874 0.7353 0.3368
Br: 0.7126 0.2647 0.6632
O: 0.2455 0.6195 0.4840
O: 0.2987 0.6973 0.9179
O: 0.3143 0.0383 0.8176
O: 0.3889 0.9380 0.1854
O: 0.4030 0.2646 0.0670
O: 0.5970 0.7354 0.9330
O: 0.6111 0.0620 0.8146
O: 0.6857 0.9617 0.1824
O: 0.7013 0.3027 0.0821
O: 0.7545 0.3805 0.5160

Output
Energy relative to the lowest polymorph listed for this composition (meV/atom): 0
Formation energy without anion corrections (meV/atom): -792
Space group: No. 2
Uncorrected energy (eV per atom): -4.81
Crystal system: triclinic